The following is a DFT calculation (PBE+U) of a relaxed NiSnNO2 crystal.

Raw total energy (eV/atom): -4.841
Space group: P4/mmm
Density (g/cm3): 6.84
M_tot (μB/f.u.): 0.55

a = 3.7373 Å, b = 3.7373 Å, c = 3.8814 Å
α = 90.00°, β = 90.00°, γ = 90.00°
Fractional coordinates of all 5 atoms:
Ni (0.0000, 0.0000, 0.0000)
Sn (0.5000, 0.5000, 0.5000)
N (0.0000, 0.0000, 0.5000)
O (0.0000, 0.5000, 0.0000)
O (0.5000, 0.0000, 0.0000)